Entry 1:
The following is a PBE-GGA calculation of a geometry-optimized Cs5AuF4 structure, from the Alexandria database.

a b c (Å): 7.5976 7.5976 11.8497
angles (deg): 115.52 115.52 33.48
With the nearest neighbours (Å) after each atom.
Sites, in units of the cell vectors:
Cs 0.0000 0.0000 0.0000  6 F 2.94-3.10
Cs 0.2081 0.2081 0.8247  5 F 3.07-3.17
Cs 0.4006 0.4006 0.6585  3 F 2.92-3.05
Cs 0.5994 0.5994 0.3415  3 F 2.92-3.05
Cs 0.7919 0.7919 0.1753  5 F 3.07-3.17
Au 0.0000 0.0000 0.5000  6 Cs 3.58-3.67
F 0.1805 0.1805 0.2489  5 Cs 2.92-3.07
F 0.4006 0.4006 0.0949  6 Cs 3.05-3.17
F 0.5994 0.5994 0.9051  6 Cs 3.05-3.17
F 0.8195 0.8195 0.7511  5 Cs 2.92-3.07

## Properties
The crystal system is monoclinic. Its space group is C2/m (12). The uncorrected formation energy is -49.64 kcal/mol of atoms.


Entry 2:
The following is a PBE-GGA calculation of a geometry-optimized Cs3Au2F8 structure, from the Alexandria database.

a b c (Å): 9.5130 9.5130 9.5130
angles (deg): 38.30 38.30 38.30
With the nearest neighbours (Å) after each atom.
Sites, in units of the cell vectors:
Cs 0.0000 0.0000 0.0000  12 F 3.28-3.65
Cs 0.1994 0.1994 0.1994  10 F 2.97-3.23
Cs 0.8006 0.8006 0.8006  10 F 2.97-3.23
Au 0.3910 0.3910 0.3910  4 F 2.09-2.13
Au 0.6090 0.6090 0.6090  4 F 2.09-2.13
F 0.2368 0.7274 0.7274  1 Au 2.13
F 0.2726 0.2726 0.7632  1 Au 2.13
F 0.2726 0.7632 0.2726  1 Au 2.13
F 0.3120 0.3120 0.3120  1 Au 2.09
F 0.6880 0.6880 0.6880  1 Au 2.09
F 0.7274 0.2368 0.7274  1 Au 2.13
F 0.7274 0.7274 0.2368  1 Au 2.13
F 0.7632 0.2726 0.2726  1 Au 2.13

## Properties
The crystal system is trigonal. Its space group is R-3m (166). The uncorrected formation energy is -37.16 kcal/mol of atoms.